Record 1
A relaxed TbGe2Pb crystal, computed with GGA-PBE.

Computed properties:
Energy of formation = -0.32 eV per atom
SG = P4/mmm (123)
Final energy = -18.84 eV per formula unit
D(E_F) = 1.9 states/eV per cell
Total magnetic moment = 0.00 μB/f.u.

a b c (Å): 4.702 4.702 4.224
angles (deg): 90.00 90.00 90.00
Fractional coordinates of all 4 atoms:
Tb 0.000 0.000 0.000
Ge 0.000 0.500 0.500
Ge 0.500 0.000 0.500
Pb 0.500 0.500 0.000

---

Record 2
A relaxed TlGaHg crystal, computed with GGA-PBE.

Computed properties:
Energy of formation = 0.04 eV per atom
SG = P1 (1)
Final energy = -5.56 eV per formula unit
D(E_F) = 2.3 states/eV per cell
Total magnetic moment = 0.00 μB/f.u.

a b c (Å): 3.417 5.335 8.938
angles (deg): 73.46 89.60 89.85
Fractional coordinates of all 6 atoms:
Tl 0.000 0.000 0.000
Tl 0.499 0.194 0.613
Ga 0.501 0.483 0.034
Ga 0.999 0.359 0.284
Hg 0.005 0.810 0.385
Hg 0.999 0.629 0.746

---

Record 3
A relaxed Sr2AcGe2 crystal, computed with GGA-PBE.

Computed properties:
Energy of formation = -0.48 eV per atom
SG = Cmcm (63)
Final energy = -19.09 eV per formula unit
D(E_F) = 4.4 states/eV per cell
Total magnetic moment = 0.89 μB/f.u.

a b c (Å): 14.759 14.759 4.589
angles (deg): 90.00 90.00 161.10
Fractional coordinates of all 10 atoms:
Sr 0.052 0.948 0.750
Sr 0.247 0.753 0.250
Sr 0.753 0.247 0.750
Sr 0.948 0.052 0.250
Ac 0.361 0.639 0.750
Ac 0.639 0.361 0.250
Ge 0.167 0.833 0.750
Ge 0.473 0.527 0.750
Ge 0.527 0.473 0.250
Ge 0.833 0.167 0.250

---

Question: Among the records above, which one has the lowest D(E_F)?
Answer: TbGe2Pb

---

Copy entry 1 word for word.
A relaxed TbGe2Pb crystal, computed with GGA-PBE.

Computed properties:
Energy of formation = -0.32 eV per atom
SG = P4/mmm (123)
Final energy = -18.84 eV per formula unit
D(E_F) = 1.9 states/eV per cell
Total magnetic moment = 0.00 μB/f.u.

a b c (Å): 4.702 4.702 4.224
angles (deg): 90.00 90.00 90.00
Fractional coordinates of all 4 atoms:
Tb 0.000 0.000 0.000
Ge 0.000 0.500 0.500
Ge 0.500 0.000 0.500
Pb 0.500 0.500 0.000